1.
The following is a GGA-PBE calculation of LiTaSe2 after structural relaxation, from Alexandria.

energy: -5.283 eV/atom
Fermi-level density of states: 0.78 states/eV per atom

abc: 2.9403 2.9403 10.1158
angles: 90.00 90.00 109.34
Fractional positions:
Se1 0.5000 0.5000 0.3110
Se2 0.0000 0.0000 0.9361
Li1 0.5000 0.5000 0.7490
Ta1 0.0000 0.0000 0.5039

2.
The following is a GGA-PBE calculation of LiTaSe after structural relaxation, from Alexandria.

energy: -5.909 eV/atom
Fermi-level density of states: 0.31 states/eV per atom

abc: 5.1081 5.1081 5.1081
angles: 143.35 143.35 52.80
Fractional positions:
Ta1 0.6755 0.6755 0.0000
Li1 0.9837 0.9837 0.0000
Se1 0.3409 0.3409 0.0000

3.
The following is a GGA-PBE calculation of Li2TaSe after structural relaxation, from Alexandria.

energy: -4.668 eV/atom
Fermi-level density of states: 0.81 states/eV per atom

abc: 7.4410 7.4410 5.8269
angles: 50.32 50.32 90.00
Fractional positions:
Li1 0.3750 0.4256 0.7500
Li2 0.8750 0.8244 0.7500
Li3 0.1756 0.6250 0.2500
Li4 0.5744 0.1250 0.2500
Se1 0.2500 0.7500 0.5000
Se2 0.5000 0.5000 0.0000
Ta1 0.7500 0.2500 0.5000
Ta2 0.0000 0.0000 0.0000

4.
The following is a GGA-PBE calculation of LiTaSe3 after structural relaxation, from Alexandria.

energy: -5.683 eV/atom
Fermi-level density of states: 0.00 states/eV per atom

abc: 6.6397 6.7981 3.2427
angles: 104.93 88.60 119.86
Fractional positions:
Li1 0.4462 0.4923 0.6061
Se1 0.7955 0.5196 0.1274
Se2 0.0802 0.1915 0.9372
Se3 0.4701 0.9012 0.8164
Ta1 0.7827 0.2044 0.4306

5.
The following is a GGA-PBE calculation of LiTaSe2 after structural relaxation, from Alexandria.

energy: -5.940 eV/atom
Fermi-level density of states: 0.03 states/eV per atom

abc: 6.7931 6.7931 3.4940
angles: 90.08 90.08 28.92
Fractional positions:
Se1 0.7937 0.7937 0.6245
Se2 0.0306 0.0306 0.1259
Ta1 0.4398 0.4398 0.6254
Li1 0.2359 0.2359 0.1241

6.
The following is a GGA-PBE calculation of LiTaSe3 after structural relaxation, from Alexandria.

energy: -5.670 eV/atom

abc: 3.5975 6.8206 10.3876
angles: 80.59 100.04 74.11
Fractional positions:
Se1 0.2656 0.6312 0.1169
Se2 0.9439 0.6008 0.4472
Se3 0.7442 0.1601 0.6120
Se4 0.5723 0.6249 0.7503
Se5 0.4227 0.1292 0.9421
Se6 0.1162 0.1357 0.3090
Li1 0.6816 0.8706 0.2058
Li2 0.0063 0.8902 0.8529
Ta1 0.1748 0.3551 0.7250
Ta2 0.5135 0.4056 0.3342

7.
The following is a GGA-PBE calculation of Li2TaSe after structural relaxation, from Alexandria.

energy: -4.881 eV/atom
Fermi-level density of states: 0.51 states/eV per atom

abc: 3.4874 3.5027 6.2567
angles: 55.83 90.00 90.00
Fractional positions:
Li1 0.0000 0.9782 0.0207
Li2 0.0000 0.5218 0.4793
Se1 0.5000 0.2500 0.2500
Ta1 0.5000 0.7500 0.7500

8.
The following is a GGA-PBE calculation of Li2TaSe after structural relaxation, from Alexandria.

energy: -4.752 eV/atom
Fermi-level density of states: 0.50 states/eV per atom

abc: 5.3935 5.3935 2.9161
angles: 90.00 90.00 123.77
Fractional positions:
Li1 0.5000 0.5000 0.0000
Li2 0.0000 0.0000 0.0000
Se1 0.5000 0.0000 0.5000
Ta1 0.0000 0.5000 0.5000